(1)
{"formula": "VMo2W", "functional": "GGA-PBE", "state": "relaxed", "cell": [[-0.079, 2.825, 1.350], [-4.390, -0.341, 0.457], [0.560, -1.881, 3.969]], "species": ["Mo", "Mo", "W", "V"], "fractional_positions": [[0.000, 0.000, 0.500], [0.000, 0.500, 0.000], [0.500, 0.000, 0.000], [0.500, 0.500, 0.500]], "m_tot_mub_per_fu": 0.000, "formation_energy_ev_per_atom": -0.107, "dos_at_fermi_per_ev_cell": 1.8, "e_above_lowest_polymorph_ev_per_atom": 0.009, "dft_energy_ev_per_atom": -11.0404}



(2)
{"formula": "V5Mo2W2", "functional": "GGA-PBE", "state": "relaxed", "cell": [[-4.162, 4.582, 0.713], [-2.226, -1.126, -5.761], [-3.599, -4.144, 5.621]], "species": ["W", "W", "W", "W", "Mo", "Mo", "Mo", "Mo", "V", "V", "V", "V", "V", "V", "V", "V", "V", "V"], "fractional_positions": [[0.141, 0.646, 0.000], [0.359, 0.146, 0.000], [0.641, 0.854, 0.000], [0.859, 0.354, 0.000], [0.000, 0.765, 0.530], [0.000, 0.235, 0.470], [0.500, 0.265, 0.530], [0.500, 0.735, 0.470], [0.000, 0.000, 0.000], [0.189, 0.175, 0.719], [0.189, 0.456, 0.281], [0.811, 0.544, 0.719], [0.689, 0.325, 0.281], [0.311, 0.675, 0.719], [0.311, 0.956, 0.281], [0.689, 0.044, 0.719], [0.811, 0.825, 0.281], [0.500, 0.500, 0.000]], "m_tot_mub_per_fu": 0.000, "formation_energy_ev_per_atom": 0.529, "dos_at_fermi_per_ev_cell": 21.5, "e_above_lowest_polymorph_ev_per_atom": 0.389, "dft_energy_ev_per_atom": -9.8225}



(3)
{"formula": "V4Mo2W", "functional": "GGA-PBE", "state": "relaxed", "cell": [[-3.457, -1.296, -2.640], [1.048, -4.349, 0.762], [-4.938, -2.862, 3.970]], "species": ["Mo", "Mo", "V", "V", "V", "V", "W"], "fractional_positions": [[0.622, 0.622, 0.755], [0.378, 0.378, 0.245], [0.198, 0.198, 0.605], [0.500, 0.000, 0.000], [0.000, 0.500, 0.000], [0.802, 0.802, 0.395], [0.000, 0.000, 0.000]], "m_tot_mub_per_fu": 1.523, "formation_energy_ev_per_atom": 1.300, "dos_at_fermi_per_ev_cell": 9.7, "e_above_lowest_polymorph_ev_per_atom": 1.200, "dft_energy_ev_per_atom": -8.8556}



(4)
{"formula": "V6MoW3", "functional": "GGA-PBE", "state": "relaxed", "cell": [[2.987, 0.000, 0.000], [0.000, 9.120, -0.561], [0.000, -3.655, 11.290]], "species": ["W", "W", "W", "W", "W", "W", "Mo", "Mo", "V", "V", "V", "V", "V", "V", "V", "V", "V", "V", "V", "V"], "fractional_positions": [[0.250, 0.363, 0.494], [0.750, 0.075, 0.098], [0.250, 0.925, 0.902], [0.250, 0.582, 0.101], [0.750, 0.418, 0.899], [0.750, 0.637, 0.506], [0.750, 0.055, 0.731], [0.250, 0.945, 0.269], [0.750, 0.111, 0.484], [0.250, 0.630, 0.859], [0.250, 0.255, 0.696], [0.750, 0.785, 0.056], [0.750, 0.745, 0.304], [0.250, 0.215, 0.944], [0.750, 0.485, 0.677], [0.750, 0.370, 0.141], [0.750, 0.776, 0.717], [0.250, 0.515, 0.323], [0.250, 0.224, 0.283], [0.250, 0.889, 0.516]], "m_tot_mub_per_fu": 0.000, "formation_energy_ev_per_atom": 0.259, "dos_at_fermi_per_ev_cell": 17.9, "e_above_lowest_polymorph_ev_per_atom": 0.331, "dft_energy_ev_per_atom": -10.1811}



(5)
{"formula": "V6Mo3W", "functional": "GGA-PBE", "state": "relaxed", "cell": [[-0.511, -2.049, 2.126], [-0.162, -6.531, -6.333], [10.870, 2.003, 4.544]], "species": ["Mo", "Mo", "Mo", "Mo", "Mo", "Mo", "V", "V", "V", "V", "V", "V", "V", "V", "V", "V", "V", "V", "W", "W"], "fractional_positions": [[0.750, 0.415, 0.899], [0.250, 0.921, 0.900], [0.750, 0.635, 0.505], [0.250, 0.365, 0.495], [0.250, 0.585, 0.101], [0.750, 0.079, 0.100], [0.750, 0.473, 0.676], [0.750, 0.762, 0.718], [0.750, 0.748, 0.305], [0.750, 0.790, 0.062], [0.250, 0.527, 0.324], [0.250, 0.627, 0.862], [0.250, 0.238, 0.282], [0.750, 0.112, 0.486], [0.250, 0.888, 0.514], [0.250, 0.252, 0.695], [0.250, 0.210, 0.938], [0.750, 0.373, 0.138], [0.750, 0.043, 0.727], [0.250, 0.957, 0.273]], "m_tot_mub_per_fu": 0.000, "formation_energy_ev_per_atom": 0.216, "dos_at_fermi_per_ev_cell": 18.4, "e_above_lowest_polymorph_ev_per_atom": 0.312, "dft_energy_ev_per_atom": -9.7994}



(6)
{"formula": "V5Mo2W2", "functional": "GGA-PBE", "state": "relaxed", "cell": [[2.962, 0.399, 0.021], [0.997, 10.767, 1.350], [0.989, 2.012, 4.469]], "species": ["V", "V", "V", "V", "V", "W", "W", "Mo", "Mo"], "fractional_positions": [[0.463, 0.802, 0.416], [0.000, 0.000, 0.000], [0.537, 0.198, 0.584], [0.129, 0.406, 0.227], [0.871, 0.594, 0.773], [0.251, 0.115, 0.268], [0.749, 0.885, 0.732], [0.291, 0.639, 0.214], [0.709, 0.361, 0.786]], "m_tot_mub_per_fu": 0.000, "formation_energy_ev_per_atom": 0.140, "dos_at_fermi_per_ev_cell": 8.2, "e_above_lowest_polymorph_ev_per_atom": 0.000, "dft_energy_ev_per_atom": -10.2114}



(7)
{"formula": "V2Mo5W", "functional": "GGA-PBE", "state": "relaxed", "cell": [[-4.091, -1.277, 1.251], [1.192, -5.042, -1.247], [3.448, -1.575, 9.667]], "species": ["Mo", "Mo", "Mo", "Mo", "Mo", "Mo", "Mo", "Mo", "Mo", "Mo", "V", "V", "V", "V", "W", "W"], "fractional_positions": [[0.000, 0.659, 0.251], [0.000, 0.159, 0.249], [0.500, 0.833, 0.376], [0.000, 0.500, 0.500], [0.500, 0.167, 0.624], [0.000, 0.341, 0.749], [0.000, 0.841, 0.751], [0.500, 0.667, 0.876], [0.000, 0.000, 0.000], [0.500, 0.333, 0.124], [0.500, 0.165, 0.886], [0.500, 0.665, 0.614], [0.500, 0.335, 0.386], [0.500, 0.835, 0.114], [0.000, 0.500, 0.000], [0.000, 0.000, 0.500]], "m_tot_mub_per_fu": 0.000, "formation_energy_ev_per_atom": 0.017, "dos_at_fermi_per_ev_cell": 12.9, "e_above_lowest_polymorph_ev_per_atom": 0.117, "dft_energy_ev_per_atom": -10.6509}



(8)
{"formula": "VMo2W", "functional": "GGA-PBE", "state": "relaxed", "cell": [[4.421, 0.000, 0.000], [0.000, 6.022, -1.687], [0.000, -0.610, 9.382]], "species": ["W", "W", "W", "W", "V", "V", "V", "V", "Mo", "Mo", "Mo", "Mo", "Mo", "Mo", "Mo", "Mo"], "fractional_positions": [[0.750, 0.062, 0.625], [0.750, 0.938, 0.875], [0.250, 0.062, 0.125], [0.250, 0.938, 0.375], [0.750, 0.187, 0.374], [0.250, 0.813, 0.626], [0.750, 0.813, 0.126], [0.250, 0.187, 0.874], [0.250, 0.689, 0.875], [0.250, 0.437, 0.376], [0.750, 0.437, 0.876], [0.750, 0.563, 0.624], [0.750, 0.689, 0.375], [0.250, 0.563, 0.124], [0.250, 0.311, 0.625], [0.750, 0.311, 0.125]], "m_tot_mub_per_fu": 0.000, "formation_energy_ev_per_atom": -0.098, "dos_at_fermi_per_ev_cell": 10.1, "e_above_lowest_polymorph_ev_per_atom": 0.019, "dft_energy_ev_per_atom": -11.0312}